A geometry-optimized SrNi2Se structure, computed with GGA-PBE.

Computed properties:
The density of states at the Fermi level is 2.104 states/eV/cell. As for the total energy: -16.44 eV for the cell shown. The space-group type is I-4m2.

abc: 5.198 5.198 5.198
angles: 133.01 133.01 68.64
Element x y z (fractional)
Ni (0.000, 0.000, 0.000)
Ni (0.250, 0.750, 0.500)
Se (0.500, 0.500, 0.000)
Sr (0.750, 0.250, 0.500)

---

A geometry-optimized Pr6Nd2Sc structure, computed with GGA-PBE.

Computed properties:
Its offset from the most stable computed form is 0.000 eV per atom. The density of states at the Fermi level is 28.375 states/eV/cell. The space-group type is C2/c. The value obtained for the formation energy is 0.087 eV/atom.

abc: 6.274 10.262 10.262
angles: 71.08 84.24 84.24
Element x y z (fractional)
Pr (0.488, 0.690, 0.412)
Pr (0.012, 0.588, 0.310)
Pr (0.512, 0.310, 0.588)
Pr (0.988, 0.412, 0.690)
Pr (0.639, 0.073, 0.340)
Pr (0.861, 0.660, 0.927)
Pr (0.361, 0.927, 0.660)
Pr (0.139, 0.340, 0.073)
Pr (0.326, 0.760, 0.028)
Pr (0.174, 0.972, 0.240)
Pr (0.674, 0.240, 0.972)
Pr (0.826, 0.028, 0.760)
Nd (0.432, 0.564, 0.781)
Nd (0.068, 0.219, 0.436)
Nd (0.568, 0.436, 0.219)
Nd (0.932, 0.781, 0.564)
Sc (0.250, 0.110, 0.890)
Sc (0.750, 0.890, 0.110)

---

A geometry-optimized Ac6Pt2Br3Cl structure, computed with GGA-PBE.

Computed properties:
The density of states at the Fermi level is 7.790 states/eV/cell. As for the total energy: -59.34 eV for the cell shown. The space-group type is C2/m.

abc: 7.890 7.890 8.243
angles: 99.02 99.02 119.81
Element x y z (fractional)
Ac (0.930, 0.567, 0.790)
Ac (0.707, 0.707, 0.204)
Ac (0.070, 0.433, 0.210)
Ac (0.567, 0.930, 0.790)
Ac (0.293, 0.293, 0.796)
Ac (0.433, 0.070, 0.210)
Pt (0.332, 0.668, 0.000)
Pt (0.668, 0.332, 0.000)
Br (0.152, 0.848, 0.500)
Br (0.848, 0.152, 0.500)
Br (0.500, 0.500, 0.500)
Cl (0.000, 0.000, 0.000)

---

A geometry-optimized Cd2SiTc2 structure, computed with GGA-PBE.

Computed properties:
Its offset from the most stable computed form is 0.000 eV per atom. The density of states at the Fermi level is 6.155 states/eV/cell. The space-group type is P4/mbm.

abc: 6.190 6.190 4.627
angles: 90.00 90.00 90.00
Element x y z (fractional)
Si (0.000, 0.000, 0.000)
Si (0.500, 0.500, 0.000)
Tc (0.363, 0.863, 0.000)
Tc (0.863, 0.637, 0.000)
Tc (0.637, 0.137, 0.000)
Tc (0.137, 0.363, 0.000)
Cd (0.170, 0.670, 0.500)
Cd (0.670, 0.830, 0.500)
Cd (0.830, 0.330, 0.500)
Cd (0.330, 0.170, 0.500)